The following is a DFT calculation (PBE) of a relaxed structure of Nd5SbTe4.

a = 4.5044 Å, b = 4.5044 Å, c = 16.2475 Å
α = 97.97°, β = 97.97°, γ = 90.00°
Positions (direct):
1 Nd 0.0980 0.0980 0.1959
2 Nd 0.5000 0.5000 0.0000
3 Nd 0.9020 0.9020 0.8041
4 Nd 0.2982 0.2982 0.5964
5 Nd 0.7018 0.7018 0.4036
6 Sb 0.0000 0.0000 0.0000
7 Te 0.3992 0.3992 0.7984
8 Te 0.8013 0.8013 0.6026
9 Te 0.1987 0.1987 0.3974
10 Te 0.6008 0.6008 0.2016

Values from the calculation:
**E_form (uncorrected)**: -1.39 eV per atom
**Total magnetization**: 0.0 Bohr magnetons per cell